20
Lattice="6.057 0.000 0.000 0.012 6.074 0.000 0.064 0.048 8.568" Properties=species:S:1:pos:R:3 comment="BaSrNdSbO6 (GGA-PBE, relaxed)" raw_formation_energy_mev_per_atom=-2589.9 dft_energy_ev_per_atom=-6.814 magmom_total_mub_per_fu=0.0 de_polymorph_kj_per_mol_fu=0 pbc="T T T"
Ba 0.051 0.129 2.147
Ba 6.082 5.993 6.421
Sr 3.011 3.221 2.124
Sr 3.123 2.902 6.444
Nd 0.006 3.037 0.000
Nd 3.061 0.024 4.284
Sb 0.038 3.061 4.284
Sb 3.029 0.000 0.000
O 0.532 3.041 6.257
O 1.291 4.619 4.013
O 1.461 4.839 0.211
O 1.597 1.823 3.886
O 1.858 1.623 0.380
O 2.729 0.270 6.591
O 3.405 5.853 1.977
O 4.275 4.499 8.188
O 4.537 4.299 4.682
O 4.673 1.284 8.357
O 4.842 1.504 4.555
O 5.602 3.081 2.311

16
Lattice="5.910 0.000 0.000 0.000 5.866 0.000 0.000 0.000 9.540" Properties=species:S:1:pos:R:3 comment="Pa2GaCo (GGA-PBE, relaxed)" dft_energy_ev_per_atom=-7.477 magmom_total_mub_per_fu=0.0 delta_e_f_mev_per_atom=-195 de_polymorph_kj_per_mol_fu=29 pbc="T T T"
Pa 0.284 1.324 0.885
Pa 0.284 1.609 3.885
Pa 2.672 4.257 3.885
Pa 2.672 4.542 0.885
Pa 3.239 1.324 8.655
Pa 3.239 1.609 5.655
Pa 5.627 4.257 5.655
Pa 5.627 4.542 8.655
Ga 0.032 1.467 7.155
Ga 2.924 4.400 7.155
Ga 2.987 1.467 2.385
Ga 5.879 4.400 2.385
Co 1.478 0.000 5.869
Co 1.478 2.933 8.442
Co 4.433 0.000 3.671
Co 4.433 2.933 1.099

4
Lattice="3.081 0.000 0.000 -1.540 2.668 0.000 0.000 0.000 5.714" Properties=species:S:1:pos:R:3 comment="MgSiB2 (GGA-PBE, relaxed)" raw_formation_energy_mev_per_atom=132.7 dft_energy_ev_per_atom=-4.960 magmom_total_mub_per_fu=0.0 de_polymorph_kj_per_mol_fu=6 pbc="T T T"
Mg 0.000 0.000 0.000
Si 1.540 0.889 3.540
B 0.000 1.779 1.737
B 1.540 0.889 1.590

5
Lattice="5.148 0.000 0.000 0.000 5.148 0.000 0.000 0.000 5.174" Properties=species:S:1:pos:R:3 comment="BaBiOs2Pd (GGA-PBE, relaxed)" dft_energy_ev_per_atom=-4.101 magmom_total_mub_per_fu=1.6 delta_e_f_mev_per_atom=2590 pbc="T T T"
Ba 0.000 0.000 0.000
Bi 2.574 2.574 2.587
Os 0.000 2.574 0.000
Os 2.574 0.000 0.000
Pd 0.000 0.000 2.587

4
Lattice="1.930 1.114 9.348 -1.930 1.114 9.348 0.000 -2.228 9.348" Properties=species:S:1:pos:R:3 comment="In2HgBr (GGA-PBE, relaxed)" raw_formation_energy_mev_per_atom=-239.4 dft_energy_ev_per_atom=-2.102 magmom_total_mub_per_fu=0.0 de_polymorph_kj_per_mol_fu=11 pbc="T T T"
In 0.000 0.000 0.000
In 0.000 0.000 4.674
Hg 0.000 0.000 16.365
Br 0.000 0.000 21.163

5
Lattice="3.325 0.000 0.000 0.000 3.325 0.000 0.000 0.000 4.052" Properties=species:S:1:pos:R:3 comment="MgPN2O (GGA-PBE, relaxed)" raw_formation_energy_mev_per_atom=-280.8 dft_energy_ev_per_atom=-6.004 magmom_total_mub_per_fu=0.5 pbc="T T T"
Mg 0.000 0.000 0.000
P 1.662 1.662 2.026
N 0.000 1.662 2.026
N 1.662 0.000 2.026
O 1.662 1.662 0.000